[1]
TmFe4B4, optimized geometry, DFT PBE-GGA; energy of formation = -397 kJ/mol of formula units; energy above the most stable polymorph in this dataset = 0.032 eV/atom; size of the total moment = 2.11 μB per cell; space-group type = No. 137
1.0
5.005 0.000 0.000
0.000 5.005 0.000
0.000 0.000 6.918
Tm Fe B
2 8 8
Cartesian
1.251 3.754 1.729
3.754 1.251 5.188
0.033 3.754 4.266
1.251 2.535 6.110
1.251 4.972 6.110
2.470 3.754 4.266
2.535 1.251 2.651
3.754 0.033 0.807
3.754 2.470 0.807
4.972 1.251 2.651
0.371 1.251 0.642
1.251 0.371 4.101
1.251 2.131 4.101
2.131 1.251 0.642
2.874 3.754 6.276
3.754 2.874 2.817
3.754 4.634 2.817
4.634 3.754 6.276

[2]
TmFe2B4, optimized geometry, DFT PBE-GGA; energy of formation = -249 kJ/mol of formula units; size of the total moment = 2.68 μB per cell; space-group type = No. 71
1.0
-1.530 1.632 6.739
1.530 -1.632 6.739
1.530 1.632 -6.739
Tm Fe B
1 2 4
Cartesian
0.000 0.000 0.000
1.530 0.000 2.582
0.000 1.632 4.157
1.530 0.000 4.652
0.000 0.000 5.448
0.000 0.000 8.029
0.000 1.632 2.086

[3]
TmFeB4, optimized geometry, DFT PBE-GGA; energy of formation = 285 kJ/mol of formula units; energy above the most stable polymorph in this dataset = 1.141 eV/atom; size of the total moment = 1.86 μB per cell; space-group type = No. 216
1.0
0.000 3.081 3.081
3.081 0.000 3.081
3.081 3.081 0.000
Tm Fe B
1 1 4
Cartesian
0.000 0.000 0.000
1.540 1.540 1.540
3.976 2.185 2.185
2.185 3.976 2.185
2.185 2.185 3.976
3.976 3.976 3.976

[4]
TmFeB4, optimized geometry, DFT PBE-GGA; energy of formation = -375 kJ/mol of formula units; energy above the most stable polymorph in this dataset = 0.000 eV/atom; size of the total moment = 0.00 μB per cell; space-group type = No. 55
1.0
5.852 0.000 0.000
0.000 11.317 0.000
0.000 0.000 3.339
Tm Fe B
4 4 16
Cartesian
0.745 1.699 0.000
2.182 7.357 0.000
3.671 3.959 0.000
5.108 9.618 0.000
0.782 4.653 0.000
2.144 10.311 0.000
3.708 1.005 0.000
5.070 6.664 0.000
0.142 7.822 1.669
0.654 6.184 1.669
0.808 10.960 1.669
1.265 9.232 1.669
1.661 3.574 1.669
2.118 5.302 1.669
2.272 0.525 1.669
2.784 2.163 1.669
3.068 9.153 1.669
3.581 10.791 1.669
3.734 6.015 1.669
4.192 7.743 1.669
4.587 2.084 1.669
5.044 0.357 1.669
5.198 5.133 1.669
5.710 3.495 1.669

[5]
TmFe22B6, optimized geometry, DFT PBE-GGA; energy of formation = -442 kJ/mol of formula units; size of the total moment = 44.15 μB per cell; space-group type = No. 225
1.0
0.000 5.341 5.341
5.341 0.000 5.341
5.341 5.341 0.000
Tm Fe B
1 22 6
Cartesian
0.000 0.000 0.000
1.872 1.872 0.000
3.469 3.469 0.000
1.872 0.000 1.872
5.341 3.469 1.872
3.469 0.000 3.469
5.341 1.872 3.469
6.603 4.079 4.079
2.671 2.671 2.671
0.000 1.872 1.872
3.469 5.341 1.872
3.469 1.872 5.341
4.079 4.079 4.079
6.603 6.603 4.079
6.603 4.079 6.603
4.079 6.603 4.079
4.079 4.079 6.603
6.603 6.603 6.603
0.000 3.469 3.469
1.872 5.341 3.469
1.872 3.469 5.341
8.012 8.012 8.012
4.079 6.603 6.603
5.341 5.341 2.913
5.341 2.913 5.341
7.770 5.341 5.341
2.913 5.341 5.341
5.341 7.770 5.341
5.341 5.341 7.770

[6]
TmFeB4, optimized geometry, DFT PBE-GGA; energy of formation = -225 kJ/mol of formula units; energy above the most stable polymorph in this dataset = 0.260 eV/atom; size of the total moment = 1.61 μB per cell; space-group type = No. 191
1.0
3.119 0.000 0.000
-1.560 2.701 0.000
0.000 0.000 6.580
Tm Fe B
1 1 4
Cartesian
0.000 0.000 0.000
0.000 0.000 3.290
0.000 1.801 1.889
0.000 1.801 4.691
1.560 0.900 1.889
1.560 0.900 4.691